A plane-wave DFT calculation with GGA-PBE was carried out for a geometry-optimized Sn3BF structure.

Unit cell a=4.851 b=4.851 c=4.851 alpha=90.00 beta=90.00 gamma=90.00
Atoms (fractional coordinates):
Sn: 0.000 0.000 0.500
Sn: 0.000 0.500 0.000
Sn: 0.500 0.000 0.000
B: 0.000 0.000 0.000
F: 0.500 0.500 0.500

Summary:
* total magnetic moment: 0.000 μB/f.u.
* ΔE to the lowest computed polymorph: 0 meV per atom
* E_form (uncorrected): 0.221 eV per atom
* DOS at the Fermi energy: 3.402 states/eV per cell